Entry from Alexandria: crystalline K3CrW2O9 at its relaxed geometry (PBE with a Hubbard U).

Values from the calculation:
Total energy   -6.68 eV/atom
Calculated volume   12.63 Å³ per atom
DOS at the Fermi energy   0.000 states/eV per atom
Total magnetic moment   3.06 Bohr magnetons per cell

Geometry as POSCAR:
```
K3CrW2O9
1.0
5.627 0.000 0.000
-2.814 4.873 0.000
0.000 0.000 6.907
K Cr W O
3 1 2 9
Cartesian
0.000 0.000 0.000
0.000 3.249 4.598
2.814 1.624 2.309
0.000 0.000 3.453
0.000 3.249 1.224
2.814 1.624 5.683
-1.407 2.437 0.000
0.000 1.657 2.261
-1.378 4.045 2.261
1.435 0.829 4.646
2.814 0.000 0.000
1.407 2.437 0.000
1.378 4.045 2.261
4.192 0.829 4.646
2.814 3.216 4.646
```